Run P
# TlGa3Cl (GGA-PBE, optimized geometry)
data_TlGa3Cl
_space_group_name_H-M_alt 'P m -3 m'
_space_group_IT_number 221
_space_group_name_Hall '-P 4 2 3'
_cell_length_a 5.3720
_cell_length_b 5.3720
_cell_length_c 5.3720
_cell_angle_alpha 90.00
_cell_angle_beta 90.00
_cell_angle_gamma 90.00
loop_
_atom_site_label
_atom_site_type_symbol
_atom_site_fract_x
_atom_site_fract_y
_atom_site_fract_z
Tl1 Tl 0.0000 0.0000 0.0000
Ga1 Ga 0.0000 0.5000 0.5000
Cl1 Cl 0.5000 0.5000 0.5000
# Theoretical density ... 4.8 g/cm³

---

Run Q
# TlGa3Cl (GGA-PBE, optimized geometry)
data_TlGa3Cl
_space_group_name_H-M_alt 'P m -3 m'
_space_group_IT_number 221
_space_group_name_Hall '-P 4 2 3'
_cell_length_a 5.5150
_cell_length_b 5.5150
_cell_length_c 5.5150
_cell_angle_alpha 90.00
_cell_angle_beta 90.00
_cell_angle_gamma 90.00
loop_
_atom_site_label
_atom_site_type_symbol
_atom_site_fract_x
_atom_site_fract_y
_atom_site_fract_z
Tl1 Tl 0.0000 0.0000 0.0000
Ga1 Ga 0.0000 0.0000 0.5000
Cl1 Cl 0.5000 0.5000 0.5000
# Theoretical density ... 4.4 g/cm³

---

Stability, lowest: run Q